The following is a DFT calculation (PBE) of crystalline MnCuIrPd at its relaxed geometry.

Cell lengths 6.045, 6.045, 6.045 Å; angles 90.00, 90.00, 90.00 degrees
Space group F-43m (No. 216)
Unique sites:
Mn: 0.000 0.000 0.000 (multiplicity 4)
Cu: 0.000 0.000 0.500 (multiplicity 4)
Ir: 0.250 0.250 0.250 (multiplicity 4)
Pd: 0.250 0.250 0.750 (multiplicity 4)

Summary:
Formation enthalpy at 0 K, meV per atom: -18.1
Total energy, eV per atom: -6.8480